Entry from the Alexandria database: a relaxed Ba6TlIn3 crystal (PBE).

a b c (Å): 9.5619 8.9782 14.5252
angles (deg): 90.00 130.68 90.00
Fractional positions:
Ba (0.0171, 0.0874, 0.2510)
Ba (0.0171, 0.4126, 0.7510)
Ba (0.2362, 0.6604, 0.0684)
Ba (0.2362, 0.8396, 0.5684)
Ba (0.4006, 0.1559, 0.0675)
Ba (0.4006, 0.3441, 0.5675)
Ba (0.5994, 0.6559, 0.4325)
Ba (0.5994, 0.8441, 0.9325)
Ba (0.7638, 0.1604, 0.4316)
Ba (0.7638, 0.3396, 0.9316)
Ba (0.9829, 0.5874, 0.2490)
Ba (0.9829, 0.9126, 0.7490)
Tl (0.5000, 0.0000, 0.5000)
Tl (0.5000, 0.5000, 0.0000)
In (0.0000, 0.0000, 0.0000)
In (0.0000, 0.5000, 0.5000)
In (0.2952, 0.1669, 0.7465)
In (0.2952, 0.3331, 0.2465)
In (0.7048, 0.6669, 0.7535)
In (0.7048, 0.8331, 0.2535)

Summary:
For the energy relative to the elements, the calculation gives -4.3 kcal/mol of atoms.

---

Entry from the Alexandria database: a relaxed GdSnGe2 crystal (PBE).

a b c (Å): 4.6111 4.6111 4.1971
angles (deg): 90.00 90.00 90.00
Fractional positions:
Gd (0.0000, 0.0000, 0.0000)
Sn (0.5000, 0.5000, 0.0000)
Ge (0.0000, 0.5000, 0.5000)
Ge (0.5000, 0.0000, 0.5000)

Summary:
For the energy relative to the elements, the calculation gives -10.0 kcal/mol of atoms.

---

Entry from the Alexandria database: a relaxed TlZn2InPd crystal (PBE).

a b c (Å): 4.9213 4.9213 5.1416
angles (deg): 90.00 90.00 90.00
Fractional positions:
Tl (0.0000, 0.0000, 0.0000)
Zn (0.0000, 0.5000, 0.5000)
Zn (0.5000, 0.0000, 0.5000)
In (0.5000, 0.5000, 0.0000)
Pd (0.5000, 0.5000, 0.5000)

Summary:
For the energy relative to the elements, the calculation gives -0.9 kcal/mol of atoms.

---

Entry from the Alexandria database: a relaxed Ce4ThIn crystal (PBE).

a b c (Å): 6.1772 6.1772 6.1772
angles (deg): 60.00 60.00 60.00
Fractional positions:
Ce (0.1228, 0.1228, 0.1228)
Ce (0.1228, 0.1228, 0.6316)
Ce (0.1228, 0.6316, 0.1228)
Ce (0.6316, 0.1228, 0.1228)
Th (0.7500, 0.7500, 0.7500)
In (0.5000, 0.5000, 0.5000)

Summary:
For the energy relative to the elements, the calculation gives 2.5 kcal/mol of atoms.

---

Entry from the Alexandria database: a relaxed CaTlZn2 crystal (PBE).

a b c (Å): 4.6281 4.6281 4.2971
angles (deg): 90.00 90.00 90.00
Fractional positions:
Ca (0.0000, 0.0000, 0.0000)
Tl (0.5000, 0.5000, 0.0000)
Zn (0.0000, 0.5000, 0.5000)
Zn (0.5000, 0.0000, 0.5000)

Summary:
For the energy relative to the elements, the calculation gives -2.7 kcal/mol of atoms.

---

Entry from the Alexandria database: a relaxed Ag2WBr crystal (PBE).

a b c (Å): 4.0541 4.0541 4.7863
angles (deg): 90.00 90.00 90.00
Fractional positions:
Ag (0.0000, 0.5000, 0.0000)
Ag (0.5000, 0.0000, 0.0000)
W (0.0000, 0.0000, 0.5000)
Br (0.5000, 0.5000, 0.5000)

Summary:
As for the formation energy (no corrections): 1.1966 eV per atom.

---

Entry from the Alexandria database: a relaxed ErLu2Au crystal (PBE).

a b c (Å): 4.6339 4.6339 4.6448
angles (deg): 90.00 90.00 90.00
Fractional positions:
Er (0.0000, 0.0000, 0.0000)
Lu (0.0000, 0.5000, 0.5000)
Lu (0.5000, 0.0000, 0.5000)
Au (0.5000, 0.5000, 0.0000)

Summary:
For the energy relative to the elements, the calculation gives -6.2 kcal/mol of atoms.

---

Entry from the Alexandria database: a relaxed CuTcW2 crystal (PBE).

a b c (Å): 2.6944 2.6944 8.6533
angles (deg): 90.00 90.00 107.36
Fractional positions:
Cu (0.0000, 0.0000, 0.0000)
Tc (0.5000, 0.5000, 0.2433)
W (0.0000, 0.0000, 0.4951)
W (0.5000, 0.5000, 0.7559)

Summary:
For the energy relative to the elements, the calculation gives 4.8 kcal/mol of atoms.

---

> What is the formula in the sixth record?

Ag2WBr